No. 1
! InSbCl (GGA-PBEsol, optimized geometry); values from VASP
! excess energy over the best structure of this formula in the dataset	0.001	eV/atom
! space group	No. 107
! V	74.8	Å³ per cell
! electronic total energy	-3.385	eV/atom
! M_tot	0.0	μB/f.u.
&SYSTEM
  ibrav = 0, nat = 3, ntyp = 3
/
ATOMIC_SPECIES
In 114.82 In.upf
Sb 121.76 Sb.upf
Cl 35.45 Cl.upf
ATOMIC_POSITIONS crystal
In 0.000 0.000 0.000
Sb 0.669 0.669 0.000
Cl 0.373 0.373 0.000
CELL_PARAMETERS angstrom
-1.634 1.634 6.998
1.634 -1.634 6.998
1.634 1.634 -6.998

---

No. 2
! Sc2Br (GGA-PBEsol, optimized geometry); values from VASP
! excess energy over the best structure of this formula in the dataset	0.000	eV/atom
! space group	No. 164
! V	66.7	Å³ per cell
! electronic total energy	-5.740	eV/atom
! M_tot	0.0	μB/f.u.
&SYSTEM
  ibrav = 0, nat = 3, ntyp = 2
/
ATOMIC_SPECIES
Sc 44.96 Sc.upf
Br 79.90 Br.upf
ATOMIC_POSITIONS crystal
Sc 0.333 0.667 0.322
Sc 0.667 0.333 0.678
Br 0.000 0.000 0.000
CELL_PARAMETERS angstrom
3.439 0.000 0.000
-1.719 2.978 0.000
0.000 0.000 6.509

---

no.,E_form (uncorrected) (eV per atom)
1,-0.20
2,-0.71